The following is a DFT calculation (PBE+U) of a relaxed CsVO3 crystal.

Values from the calculation:
Total moment = 3.00 Bohr magnetons per cell
Final energy = -3.783 eV/atom
ρ = 4232 kg/m3
D(E_F) = 6.7 states/eV/f.u.

CIF file:
```
data_CsVO3
_space_group_name_H-M_alt 'P m -3 m'
_space_group_IT_number 221
_space_group_name_Hall '-P 4 2 3'
_cell_length_a 4.497
_cell_length_b 4.497
_cell_length_c 4.497
_cell_angle_alpha 90.00
_cell_angle_beta 90.00
_cell_angle_gamma 90.00
loop_
_atom_site_label
_atom_site_type_symbol
_atom_site_fract_x
_atom_site_fract_y
_atom_site_fract_z
_atom_site_occupancy
Cs1 Cs 0.000 0.000 0.000 1
V1 V 0.500 0.500 0.500 1
O1 O 0.000 0.000 0.500 1
```